[1]
Compound: Be2RhF8
Source: Alexandria
Functional: PBE-GGA
Structure: relaxed

Results
E_form (uncorrected): -2.257 eV per atom
N(E_F): 5.03 states/eV/cell
Volume: 142.4 Å³ per cell

Cell: 4.8026 6.0143 6.0143 Å, 55.64 96.03 96.03°
Last column: nearest neighbours and their distance in Å.
Fractional positions:
Be 0.6361 0.1780 0.1780  1 F 1.44
Be 0.3639 0.8220 0.8220  1 F 1.44
Rh 0.0000 0.0000 0.0000  6 F 1.94-1.97
F 0.2249 0.1137 0.6922  1 Be 1.65
F 0.2249 0.6922 0.1137  1 Be 1.65
F 0.7751 0.8863 0.3078  1 Be 1.65
F 0.3016 0.6866 0.6866  1 Be 1.44
F 0.7751 0.3078 0.8863  1 Be 1.65
F 0.2989 0.1399 0.1399  1 Be 1.62
F 0.7011 0.8601 0.8601  1 Be 1.62
F 0.6984 0.3134 0.3134  1 Be 1.44

[2]
Compound: BeSi2RhF
Source: Alexandria
Functional: PBE-GGA
Structure: relaxed

Results
E_form (uncorrected): -0.259 eV per atom
N(E_F): 0.36 states/eV/cell
Volume: 87.1 Å³ per cell

Cell: 4.4821 4.3375 4.4821 Å, 90.00 90.00 90.00°
Last column: nearest neighbours and their distance in Å.
Fractional positions:
Be 0.0000 0.5000 0.0000  2 Rh 2.17
Si 0.0000 0.0000 0.5000  2 Rh 2.24
Si 0.5000 0.0000 0.0000  2 Rh 2.24
Rh 0.0000 0.0000 0.0000  2 Be 2.17, 4 Si 2.24
F 0.5000 0.5000 0.5000  8 Si 3.12, 4 Be 3.17

[3]
Compound: BeSi2RhF
Source: Alexandria
Functional: PBE-GGA
Structure: relaxed

Results
E_form (uncorrected): 0.638 eV per atom
N(E_F): 2.24 states/eV/cell
Volume: 74.9 Å³ per cell

Cell: 4.2456 4.1529 4.2456 Å, 90.00 90.00 90.00°
Last column: nearest neighbours and their distance in Å.
Fractional positions:
Be 0.5000 0.5000 0.5000  8 Si 2.97, 4 Rh 3.00
Si 0.0000 0.0000 0.5000  2 F 2.12
Si 0.5000 0.0000 0.0000  2 F 2.12
Rh 0.0000 0.5000 0.0000  2 F 2.08
F 0.0000 0.0000 0.0000  2 Rh 2.08, 4 Si 2.12

[4]
Compound: BeSnRh2F
Source: Alexandria
Functional: PBE-GGA
Structure: relaxed

Results
E_form (uncorrected): -0.557 eV per atom
N(E_F): 1.76 states/eV/cell
Volume: 69.3 Å³ per cell

Cell: 4.6510 3.2028 4.6510 Å, 90.00 90.00 90.00°
Last column: nearest neighbours and their distance in Å.
Fractional positions:
Be 0.0000 0.0000 0.0000  2 F 1.60
Rh 0.0000 0.0000 0.5000  2 Be 2.33
Rh 0.5000 0.0000 0.0000  2 Be 2.33
Sn 0.5000 0.5000 0.5000  8 Rh 2.82
F 0.0000 0.5000 0.0000  2 Be 1.60

[5]
Compound: BeTl2RhF
Source: Alexandria
Functional: PBE-GGA
Structure: relaxed

Results
E_form (uncorrected): -0.245 eV per atom
N(E_F): 3.55 states/eV/cell
Volume: 88.2 Å³ per cell

Cell: 5.2817 3.1613 5.2817 Å, 90.00 90.00 90.00°
Last column: nearest neighbours and their distance in Å.
Fractional positions:
Be 0.0000 0.0000 0.0000  2 F 1.58
Tl 0.0000 0.0000 0.5000  2 Be 2.64
Tl 0.5000 0.0000 0.0000  2 Be 2.64
Rh 0.5000 0.5000 0.5000  8 Tl 3.08, 2 Rh 3.16
F 0.0000 0.5000 0.0000  2 Be 1.58

Question: Look up the E_form (uncorrected) of the third one.
Answer: 0.638 eV per atom

Question: The highest volume belongs to which entry?
Answer: Be2RhF8

Please write out number 2 again, unchanged.
Compound: BeSi2RhF
Source: Alexandria
Functional: PBE-GGA
Structure: relaxed

Results
E_form (uncorrected): -0.259 eV per atom
N(E_F): 0.36 states/eV/cell
Volume: 87.1 Å³ per cell

Cell: 4.4821 4.3375 4.4821 Å, 90.00 90.00 90.00°
Last column: nearest neighbours and their distance in Å.
Fractional positions:
Be 0.0000 0.5000 0.0000  2 Rh 2.17
Si 0.0000 0.0000 0.5000  2 Rh 2.24
Si 0.5000 0.0000 0.0000  2 Rh 2.24
Rh 0.0000 0.0000 0.0000  2 Be 2.17, 4 Si 2.24
F 0.5000 0.5000 0.5000  8 Si 3.12, 4 Be 3.17